DFT (PBE) results for TbEr2Ru9 after structural relaxation.

## Properties
E_tot: -0.3032 hartree per atom
space group: R-3m
total moment: 0.51 Bohr magnetons per cell
crystal system: trigonal
DFT formation energy: -148 meV per atom

a b c (Å): 5.2565 5.2565 9.2128
angles (deg): 73.42 73.42 60.00
Last column: nearest neighbours and their distance in Å.
Fractional positions:
1 Ru 0.5881 0.0733 0.7505  7 Ru 2.55-2.72
2 Ru 0.6621 0.6621 0.0137  6 Ru 2.58-2.72
3 Ru 0.9267 0.4119 0.2495  7 Ru 2.55-2.72
4 Ru 0.3379 0.3379 0.9863  6 Ru 2.58-2.72
5 Ru 0.4119 0.4119 0.2495  7 Ru 2.55-2.72
6 Ru 0.5000 0.5000 0.5000  6 Ru 2.68
7 Ru 0.0733 0.5881 0.7505  7 Ru 2.55-2.72
8 Ru 0.5881 0.5881 0.7505  7 Ru 2.55-2.72
9 Ru 0.4119 0.9267 0.2495  7 Ru 2.55-2.72
10 Er 0.1397 0.1397 0.5808  12 Ru 3.01-3.24, 3 Er 3.34
11 Er 0.8603 0.8603 0.4192  12 Ru 3.01-3.24, 3 Er 3.34
12 Tb 0.0000 0.0000 0.0000  6 Ru 3.04

***

DFT (PBE) results for TbEr3Ru after structural relaxation.

## Properties
E_tot: -0.2084 hartree per atom
space group: P2_1/m
total moment: 0.00 Bohr magnetons per cell
crystal system: monoclinic
DFT formation energy: -152 meV per atom
ΔE to the lowest computed polymorph: 0.32 eV/f.u.

a b c (Å): 4.8405 6.4578 9.6300
angles (deg): 90.00 90.00 112.16
Last column: nearest neighbours and their distance in Å.
Fractional positions:
1 Er 0.8666 0.7307 0.4998  2 Ru 2.88-2.91, 1 Er 3.22
2 Er 0.1334 0.2693 0.5002  2 Ru 2.88-2.91, 1 Er 3.22
3 Er 0.6357 0.2729 0.7500  2 Ru 2.90-2.91
4 Er 0.8666 0.7307 0.0002  2 Ru 2.88-2.91, 1 Er 3.22
5 Er 0.3643 0.7271 0.2500  2 Ru 2.90-2.91
6 Er 0.1334 0.2693 0.9998  2 Ru 2.88-2.91, 1 Er 3.22
7 Tb 0.3627 0.7236 0.7500  2 Ru 2.94-2.95, 1 Er 3.29
8 Tb 0.6373 0.2764 0.2500  2 Ru 2.94-2.95, 1 Er 3.29
9 Ru 0.9981 0.9962 0.2500  6 Er 2.88-2.91, 2 Tb 2.94-2.95
10 Ru 0.0019 0.0038 0.7500  6 Er 2.88-2.91, 2 Tb 2.94-2.95

***

DFT (PBE) results for Tb3ErRu4 after structural relaxation.

## Properties
E_tot: -0.2666 hartree per atom
space group: Pmmm
total moment: 0.00 Bohr magnetons per cell
crystal system: orthorhombic
DFT formation energy: -310 meV per atom

a b c (Å): 3.4101 4.8047 9.6110
angles (deg): 90.00 90.00 90.00
Last column: nearest neighbours and their distance in Å.
Fractional positions:
1 Tb 0.5000 0.0000 0.7517  8 Ru 2.93-2.96
2 Tb 0.5000 0.5000 0.5000  8 Ru 2.95-2.96
3 Tb 0.5000 0.0000 0.2483  8 Ru 2.93-2.96
4 Ru 0.0000 0.0000 0.5000  8 Tb 2.95-2.96
5 Ru 0.0000 0.5000 0.2478  2 Er 2.93, 6 Tb 2.95-2.96
6 Ru 0.0000 0.5000 0.7522  2 Er 2.93, 6 Tb 2.95-2.96
7 Ru 0.0000 0.0000 0.0000  4 Tb 2.93, 4 Er 2.95
8 Er 0.5000 0.5000 0.0000  8 Ru 2.93-2.95

***

DFT (PBE) results for TbEr2ThRu4 after structural relaxation.

## Properties
E_tot: -0.2839 hartree per atom
space group: R-3m
total moment: 0.00 Bohr magnetons per cell
crystal system: trigonal
DFT formation energy: -440 meV per atom

a b c (Å): 4.8491 4.8491 8.3620
angles (deg): 73.14 73.14 60.00
Last column: nearest neighbours and their distance in Å.
Fractional positions:
1 Ru 0.1272 0.1272 0.6184  3 Th 2.95, 4 Er 2.99-3.02, 1 Tb 3.01
2 Ru 0.8728 0.8728 0.3816  3 Th 2.95, 4 Er 2.99-3.02, 1 Tb 3.01
3 Ru 0.3778 0.3778 0.8665  1 Th 2.89, 4 Er 2.92-2.93, 3 Tb 2.99
4 Ru 0.6222 0.6222 0.1335  1 Th 2.89, 4 Er 2.92-2.93, 3 Tb 2.99
5 Er 0.2538 0.2538 0.2387  8 Ru 2.92-3.02
6 Er 0.7462 0.7462 0.7613  8 Ru 2.92-3.02
7 Tb 0.0000 0.0000 0.0000  8 Ru 2.99-3.01
8 Th 0.5000 0.5000 0.5000  8 Ru 2.89-2.95

***

DFT (PBE) results for TbEr2U2Ru5 after structural relaxation.

## Properties
E_tot: -0.3145 hartree per atom
space group: P4/mbm
total moment: 0.00 Bohr magnetons per cell
crystal system: tetragonal
DFT formation energy: -287 meV per atom

a b c (Å): 3.6236 10.5388 10.5388
angles (deg): 90.00 90.00 90.00
Last column: nearest neighbours and their distance in Å.
Fractional positions:
1 U 0.0000 0.3659 0.1341  6 Ru 2.56-2.70, 1 Er 2.86
2 U 0.0000 0.8659 0.3659  6 Ru 2.56-2.70, 1 Er 2.86
3 U 0.0000 0.1341 0.6341  6 Ru 2.56-2.70, 1 Er 2.86
4 U 0.0000 0.6341 0.8659  6 Ru 2.56-2.70, 1 Er 2.86
5 Ru 0.5000 0.5000 0.0000  4 U 2.70
6 Ru 0.5000 0.0551 0.7868  2 U 2.56
7 Ru 0.5000 0.0000 0.5000  4 U 2.70
8 Ru 0.5000 0.7868 0.9449  2 U 2.56
9 Ru 0.5000 0.2868 0.5551  2 U 2.56
10 Ru 0.5000 0.9449 0.2132  2 U 2.56
11 Ru 0.5000 0.4449 0.2868  2 U 2.56
12 Ru 0.5000 0.7132 0.4449  2 U 2.56
13 Ru 0.5000 0.2132 0.0551  2 U 2.56
14 Ru 0.5000 0.5551 0.7132  2 U 2.56
15 Tb 0.0000 0.5000 0.5000  8 Ru 2.94
16 Tb 0.0000 0.0000 0.0000  8 Ru 2.94
17 Er 0.0000 0.6739 0.1739  1 U 2.86, 2 Ru 3.16
18 Er 0.0000 0.8261 0.6739  1 U 2.86, 2 Ru 3.16
19 Er 0.0000 0.1739 0.3261  1 U 2.86, 2 Ru 3.16
20 Er 0.0000 0.3261 0.8261  1 U 2.86, 2 Ru 3.16

***

DFT (PBE) results for TbErZnRu after structural relaxation.

## Properties
E_tot: -0.1949 hartree per atom
space group: F-43m
total moment: 0.00 Bohr magnetons per cell
crystal system: cubic
DFT formation energy: -369 meV per atom
ΔE to the lowest computed polymorph: 0.16 eV/f.u.

a b c (Å): 4.9028 4.9028 4.9028
angles (deg): 60.00 60.00 60.00
Last column: nearest neighbours and their distance in Å.
Fractional positions:
1 Zn 0.2500 0.2500 0.2500  4 Er 3.00, 4 Tb 3.00
2 Er 0.0000 0.0000 0.0000  4 Ru 3.00, 4 Zn 3.00
3 Tb 0.5000 0.5000 0.5000  4 Zn 3.00, 4 Ru 3.00
4 Ru 0.7500 0.7500 0.7500  4 Tb 3.00, 4 Er 3.00